Entry 1:
VASP calculation (PBE-GGA) on crystalline La2Tb5Er6 at its relaxed geometry.

extended XYZ file:
```
26
Lattice="3.5788 0.0000 0.0000 0.0000 11.7113 0.0000 0.0000 0.0000 20.2692" Properties=species:S:1:pos:R:3 pbc="T T T"
Er 0.0000 11.0093 18.7385
Er 1.7894 3.7262 2.4778
Er 0.0000 4.9683 17.4887
Er 0.0000 0.7021 1.5307
Er 0.0000 6.7430 2.7804
Er 1.7894 7.9852 17.7914
Er 0.0000 6.5577 8.6039
Er 0.0000 5.1536 11.6653
Er 1.7894 9.5818 7.6568
Er 1.7894 2.1295 12.6124
Er 0.0000 10.8240 12.9150
Er 0.0000 0.8873 7.3541
Tb 1.7894 2.3499 19.2074
Tb 1.7894 1.1019 4.4261
Tb 1.7894 6.9575 5.7085
Tb 1.7894 5.8557 0.0000
Tb 1.7894 0.0000 10.1346
Tb 1.7894 9.3615 1.0618
Tb 1.7894 8.2055 11.1964
Tb 1.7894 3.5058 9.0728
Tb 1.7894 10.6095 15.8431
Tb 1.7894 4.7538 14.5607
La 0.0000 7.8199 14.6103
La 0.0000 9.7471 4.4757
La 0.0000 1.9642 15.7935
La 0.0000 3.8915 5.6589
```

SG	Pbam
energy of formation	9.8	kJ/mol of atoms

=====

Entry 2:
VASP calculation (PBE-GGA) on crystalline PIrPtO2 at its relaxed geometry.

extended XYZ file:
```
5
Lattice="-2.9603 -0.9677 1.9136 0.4352 -3.4652 -1.0791 3.2981 -1.0149 4.5890" Properties=species:S:1:pos:R:3 pbc="T T T"
O -1.4802 -0.4838 0.9568
O 0.2176 -1.7326 -0.5396
Ir 0.0000 0.0000 0.0000
P 1.6490 -0.5074 2.2945
Pt 0.3865 -2.7239 2.7117
```

formation energy (no corrections)	-63.2	meV per atom
offset from the most stable computed form	0	meV/atom
SG	P4/mmm

=====

Entry 3:
VASP calculation (PBE-GGA) on crystalline Na3In2PtO6 at its relaxed geometry.

extended XYZ file:
```
12
Lattice="-2.9219 1.3258 4.7258 -2.5203 -2.7131 -4.3492 3.1080 -4.3590 2.0775" Properties=species:S:1:pos:R:3 pbc="T T T"
O -0.5644 -1.9660 -0.9749
O -1.6352 -5.1338 0.3876
O -1.7698 -3.7803 3.4289
O -0.6990 -0.6124 2.0665
O 1.1226 -3.8322 1.7552
O -3.4567 -1.9141 0.6989
Pt 0.0000 0.0000 0.0000
Na -1.0311 -4.2409 -1.8463
Na -1.1671 -2.8731 1.2270
Na -1.3031 -1.5053 4.3004
In -2.7891 -0.0096 1.7252
In -2.6531 -1.3777 -1.3486
```

formation energy (no corrections)	-1330.1	meV per atom
SG	C2/m

=====

Entry 4:
VASP calculation (PBE-GGA) on crystalline CaReMo at its relaxed geometry.

extended XYZ file:
```
3
Lattice="-0.4703 2.6295 -3.5802 -3.7167 -0.2297 -2.4671 -2.9385 3.3636 0.0699" Properties=species:S:1:pos:R:3 pbc="T T T"
Re -5.3441 4.3226 -4.4830
Ca 0.0000 0.0000 0.0000
Mo -3.5628 2.8817 -2.9887
```

offset from the most stable computed form	579	meV/atom
SG	F-43m
energy of formation	95.7	kJ/mol of atoms